[1]
Here is Mg2SiPb after structural relaxation from Alexandria via LeMat-Bulk. Energies are from GGA-PBE.

The structure belongs to space group C2/m (No. 12); the cell edges are 9.101, 3.283 and 6.158 Å and the angles 90.00°, 102.35° and 90.00°. The inequivalent atoms are Mg at (0.238, 0.000, 0.217), Si at (0.000, 0.500, 0.000) and Pb at (0.000, 0.000, 0.500).

For the calculated total energy, the calculation gives -2.9945 eV per atom. The calculation puts the uncorrected formation energy at 86 meV per atom.

=====

[2]
Here is Mg2Si2Pb after structural relaxation from Alexandria via LeMat-Bulk. Energies are from GGA-PBE.

The structure belongs to space group P4/mbm (No. 127); the cell edges are 8.278, 8.278 and 3.066 Å and the angles 90.00°, 90.00° and 90.00°. The inequivalent atoms are Mg at (0.136, 0.364, 0.000), Si at (0.159, 0.659, 0.500) and Pb at (0.000, 0.000, 0.500).

For the calculated total energy, the calculation gives -3.4158 eV per atom. The calculation puts the uncorrected formation energy at 133 meV per atom.

=====

[3]
Here is Mg2SiPb after structural relaxation from Alexandria via LeMat-Bulk. Energies are from GGA-PBE.

The structure belongs to space group Fm-3m (No. 225); the cell edges are 7.077, 7.077 and 7.077 Å and the angles 90.00°, 90.00° and 90.00°. The inequivalent atoms are Mg at (0.250, 0.250, 0.250), Si at (0.000, 0.000, 0.000) and Pb at (0.000, 0.000, 0.500).

For the calculated total energy, the calculation gives -2.9451 eV per atom. The calculation puts the uncorrected formation energy at 135 meV per atom.

=====

[4]
Here is MgSi2Pb after structural relaxation from Alexandria via LeMat-Bulk. Energies are from GGA-PBE.

The structure belongs to space group Pmmm (No. 47); the cell edges are 4.190, 4.368 and 4.578 Å and the angles 90.00°, 90.00° and 90.00°. The inequivalent atoms are Mg at (0.000, 0.000, 0.000), Si at (0.000, 0.500, 0.500), Si at (0.500, 0.000, 0.500) and Pb at (0.500, 0.500, 0.000).

For the calculated total energy, the calculation gives -3.6217 eV per atom. The calculation puts the uncorrected formation energy at 416 meV per atom.

=====

no.,polymorph energy (0 for the lowest one) (kJ/mol of formula units)
1,8
2,37
3,27
4,74